An optimized crystal structure of RbAs2F, computed with PBE.

CIF file:
```
data_RbAs2F
_chemical_formula_sum 'Rb4 As8 F4'
_cell_length_a 4.6087
_cell_length_b 4.6087
_cell_length_c 24.5893
_cell_angle_alpha 90.00
_cell_angle_beta 90.00
_cell_angle_gamma 90.00
_space_group_name_H-M_alt 'P 1'
_space_group_IT_number 1
_space_group_name_Hall 'P 1'
loop_
_atom_site_label
_atom_site_type_symbol
_atom_site_fract_x
_atom_site_fract_y
_atom_site_fract_z
Rb1 Rb 0.0000 0.2500 0.3750
Rb2 Rb 0.0000 0.7500 0.6250
Rb3 Rb 0.5000 0.2500 0.1250
Rb4 Rb 0.5000 0.7500 0.8750
As1 As 0.0000 0.0000 0.0000
As2 As 0.0000 0.5000 0.0000
As3 As 0.2500 0.2500 0.7500
As4 As 0.2500 0.7500 0.2500
As5 As 0.5000 0.0000 0.5000
As6 As 0.5000 0.5000 0.5000
As7 As 0.7500 0.2500 0.7500
As8 As 0.7500 0.7500 0.2500
F1 F 0.0000 0.2500 0.8750
F2 F 0.0000 0.7500 0.1250
F3 F 0.5000 0.2500 0.6250
F4 F 0.5000 0.7500 0.3750
```

Results
polymorph energy (0 for the lowest one): 0.00 kcal/mol of atoms
V: 32.64 A^3/atom
energy relative to the elements, uncorrected: -0.62 eV/atom